A plane-wave DFT calculation with GGA-PBE was carried out for crystalline Ac2PmTmS6 at its relaxed geometry.

POSCAR file:
```
Ac2PmTmS6
1.0
7.2939 0.0001 0.0003
3.6470 6.3167 0.0000
3.6468 2.1057 6.2193
Pm S Ac Tm
1 6 2 1
Direct
0.8141 0.8141 0.5578
0.5949 0.1849 0.2602
0.6776 0.1073 0.7670
0.1849 0.9599 0.2602
0.9599 0.5949 0.2602
0.4481 0.6776 0.7670
0.1073 0.4481 0.7670
0.0285 0.0285 0.9144
0.5298 0.5298 0.4105
0.3163 0.3163 0.0510
```

formation energy (no corrections) = -2.0967 eV per atom